A:
Computed, not measured: a relaxed AgPtAu2 crystal at the PBEsol level of DFT.

Summary:
The total magnetization comes out at 0.00 μB/cell. Its calculated density is 17.67 g/cm³.

POSCAR file:
```
AgPtAu2
1.0
1.4170 -2.3973 0.0000
1.4170 2.3973 0.0000
0.0000 0.0000 9.6388
Ag Pt Au
1 1 2
direct
0.0000 0.0000 0.0000 Ag
0.5000 0.5000 0.2444 Pt
0.0000 0.0000 0.4932 Au
0.5000 0.5000 0.7493 Au
```



B:
Computed, not measured: a relaxed AgPtAu2 crystal at the PBEsol level of DFT.

Summary:
The total magnetization comes out at 0.00 μB/cell. Its calculated density is 17.63 g/cm³.

POSCAR file:
```
AgPtAu2
1.0
-1.4315 2.3946 4.7873
1.4315 -2.3946 4.7873
1.4315 2.3946 -4.7873
Ag Pt Au
1 1 2
direct
0.0000 0.0000 0.0000 Ag
0.5000 0.5000 0.0000 Pt
0.2538 0.7538 0.5000 Au
0.7462 0.2462 0.5000 Au
```



C:
Computed, not measured: a relaxed AgPtAu2 crystal at the PBEsol level of DFT.

Summary:
The total magnetization comes out at 0.00 μB/cell. Its calculated density is 17.82 g/cm³.

POSCAR file:
```
AgPtAu2
1.0
-2.0231 2.0231 3.9653
2.0231 -2.0231 3.9653
2.0231 2.0231 -3.9653
Ag Pt Au
1 1 2
direct
0.0000 0.0000 0.0000 Ag
0.2500 0.7500 0.5000 Pt
0.5000 0.5000 0.0000 Au
0.7500 0.2500 0.5000 Au
```



D:
Computed, not measured: a relaxed AgPtAu2 crystal at the PBEsol level of DFT.

Summary:
The total magnetization comes out at 0.00 μB/cell. Its calculated density is 17.80 g/cm³.

POSCAR file:
```
AgPtAu2
1.0
2.8175 0.0000 0.0000
0.0000 4.7445 0.0000
0.0000 0.0000 4.8621
Ag Pt Au
1 1 2
direct
0.0000 0.0000 0.0000 Ag
0.0000 0.5000 0.6546 Pt
0.5000 0.0000 0.5061 Au
0.5000 0.5000 0.1560 Au
```



Which one sits at the bottom of the stability order? B does.



A:
Computed, not measured: a relaxed AgPtAu2 crystal at the PBEsol level of DFT.

Summary:
The total magnetization comes out at 0.00 μB/cell. Its calculated density is 17.82 g/cm³.

POSCAR file:
```
AgPtAu2
1.0
2.8097 0.0000 0.0000
0.0000 4.0648 0.0000
0.0000 0.0000 5.6853
Ag Pt Au
1 1 2
direct
0.0000 0.0000 0.0000 Ag
0.5000 0.5000 0.7525 Pt
0.0000 0.0000 0.5084 Au
0.5000 0.5000 0.2498 Au
```



B:
Computed, not measured: a relaxed AgPtAu2 crystal at the PBEsol level of DFT.

Summary:
The total magnetization comes out at 0.00 μB/cell. Its calculated density is 17.66 g/cm³.

POSCAR file:
```
AgPtAu2
1.0
-1.4204 2.3948 4.8147
1.4204 -2.3948 4.8147
1.4204 2.3948 -4.8147
Ag Pt Au
1 1 2
direct
0.0000 0.0000 0.0000 Ag
0.7511 0.2511 0.5000 Pt
0.2536 0.7536 0.5000 Au
0.5056 0.5056 0.0000 Au
```



C:
Computed, not measured: a relaxed AgPtAu2 crystal at the PBEsol level of DFT.

Summary:
The total magnetization comes out at 0.00 μB/cell. Its calculated density is 17.84 g/cm³.

POSCAR file:
```
AgPtAu2
1.0
4.7396 -1.4237 0.0000
4.7396 1.4237 0.0000
-0.8744 0.0000 4.8074
Ag Pt Au
1 1 2
direct
0.0000 0.0000 0.0000 Ag
0.7484 0.7484 0.2522 Pt
0.2474 0.2474 0.7524 Au
0.4951 0.4951 0.4939 Au
```



Which one sits at the bottom of the stability order? B does.



A:
Computed, not measured: a relaxed AgPtAu2 crystal at the PBEsol level of DFT.

Summary:
The total magnetization comes out at 0.00 μB/cell. Its calculated density is 17.80 g/cm³.

POSCAR file:
```
AgPtAu2
1.0
2.8175 0.0000 0.0000
0.0000 2.8175 0.0000
0.0000 0.0000 8.1878
Ag Pt Au
1 1 2
direct
0.0000 0.0000 0.0000 Ag
0.5000 0.5000 0.7570 Pt
0.0000 0.0000 0.5120 Au
0.5000 0.5000 0.2538 Au
```



B:
Computed, not measured: a relaxed AgPtAu2 crystal at the PBEsol level of DFT.

Summary:
The total magnetization comes out at 0.00 μB/cell. Its calculated density is 17.69 g/cm³.

POSCAR file:
```
AgPtAu2
1.0
1.4197 -2.3965 0.0000
1.4197 2.3965 0.0000
0.0000 0.0000 9.6127
Ag Pt Au
1 1 2
direct
0.0000 0.0000 0.0000 Ag
0.0000 0.0000 0.5000 Pt
0.5000 0.5000 0.2509 Au
0.5000 0.5000 0.7491 Au
```



Which one sits at the bottom of the stability order? B does.



A:
Computed, not measured: a relaxed AgPtAu2 crystal at the PBEsol level of DFT.

Summary:
The total magnetization comes out at 0.00 μB/cell. Its calculated density is 17.83 g/cm³.

POSCAR file:
```
AgPtAu2
1.0
2.8111 0.0000 0.0000
0.0000 2.8111 0.0000
0.0000 0.0000 8.2143
Ag Pt Au
1 1 2
direct
0.0000 0.0000 0.0000 Ag
0.0000 0.0000 0.5000 Pt
0.5000 0.5000 0.2540 Au
0.5000 0.5000 0.7460 Au
```



B:
Computed, not measured: a relaxed AgPtAu2 crystal at the PBEsol level of DFT.

Summary:
The total magnetization comes out at 0.00 μB/cell. Its calculated density is 17.81 g/cm³.

POSCAR file:
```
AgPtAu2
1.0
-2.0508 2.0508 3.8617
2.0508 -2.0508 3.8617
2.0508 2.0508 -3.8617
Ag Pt Au
1 1 2
direct
0.0000 0.0000 0.0000 Ag
0.5000 0.5000 0.0000 Pt
0.2500 0.7500 0.5000 Au
0.7500 0.2500 0.5000 Au
```



C:
Computed, not measured: a relaxed AgPtAu2 crystal at the PBEsol level of DFT.

Summary:
The total magnetization comes out at 0.00 μB/cell. Its calculated density is 17.84 g/cm³.

POSCAR file:
```
AgPtAu2
1.0
1.4048 0.8111 9.4907
-1.4048 0.8111 9.4907
0.0000 -1.6222 9.4907
Ag Pt Au
1 1 2
direct
0.0000 0.0000 0.0000 Ag
0.7477 0.7477 0.7477 Pt
0.2496 0.2496 0.2496 Au
0.4971 0.4971 0.4971 Au
```



D:
Computed, not measured: a relaxed AgPtAu2 crystal at the PBEsol level of DFT.

Summary:
The total magnetization comes out at 0.00 μB/cell. Its calculated density is 17.73 g/cm³.

POSCAR file:
```
AgPtAu2
1.0
0.0000 3.1954 3.1954
3.1954 0.0000 3.1954
3.1954 3.1954 0.0000
Ag Pt Au
1 1 2
direct
0.0000 0.0000 0.0000 Ag
0.5000 0.5000 0.5000 Pt
0.2500 0.2500 0.2500 Au
0.7500 0.7500 0.7500 Au
```



Which one sits at the bottom of the stability order? D does.